A relaxed CsBa2CaNi crystal, computed with PBE.

It has space group P4/mmm (No. 123), with a = 6.375 Å, b = 6.375 Å, c = 5.945 Å, α = 90.00°, β = 90.00° and γ = 90.00°. Symmetry generates all atoms from Cs at (0.000, 0.000, 0.000), Ba at (0.000, 0.500, 0.500), Ca at (0.500, 0.500, 0.000) and Ni at (0.500, 0.500, 0.500).

Its spin magnetization is 0.0 μB/cell. For the energy, the calculation gives -12.0 eV/f.u.


A relaxed CoIr2W crystal, computed with PBE.

It has space group P4/mmm (No. 123), with a = 3.837 Å, b = 3.837 Å, c = 3.772 Å, α = 90.00°, β = 90.00° and γ = 90.00°. Symmetry generates all atoms from Co at (0.000, 0.000, 0.000), Ir at (0.000, 0.500, 0.500) and W at (0.500, 0.500, 0.000).

Its spin magnetization is 0.0 μB/cell. For the relative energy among the computed polymorphs, the calculation gives 0.024 eV per atom. For the energy, the calculation gives -38.5 eV/f.u.